# CaLaGa2Pd5 | Alexandria via LeMat-Bulk | PBE | relaxed
# ΔH_f (0 K) (eV/atom): -0.775
# Space group: P4/mmm (123)
data_CaLaGa2Pd5
_chemical_formula_sum 'Ca1 La1 Ga2 Pd5'
_cell_length_a 4.277
_cell_length_b 4.277
_cell_length_c 9.399
_cell_angle_alpha 90.00
_cell_angle_beta 90.00
_cell_angle_gamma 90.00
_space_group_name_H-M_alt 'P 1'
_space_group_IT_number 1
_space_group_name_Hall 'P 1'
loop_
_atom_site_label
_atom_site_fract_x
_atom_site_fract_y
_atom_site_fract_z
Ga1 0.500 0.500 0.136
Ga2 0.500 0.500 0.864
La1 0.000 0.000 0.500
Pd1 0.500 0.500 0.500
Pd2 0.500 0.000 0.273
Pd3 0.000 0.500 0.727
Pd4 0.500 0.000 0.727
Pd5 0.000 0.500 0.273
Ca1 0.000 0.000 0.000

***

# SrZnIN2 | Alexandria via LeMat-Bulk | PBE | relaxed
# E above lowest polymorph (eV per atom): 0.418
# Formation energy (no corrections) (eV/atom): 1.17
# Space group: P4/mmm (123)
data_SrZnIN2
_chemical_formula_sum 'Sr1 Zn1 I1 N2'
_cell_length_a 5.087
_cell_length_b 5.087
_cell_length_c 6.698
_cell_angle_alpha 90.00
_cell_angle_beta 90.00
_cell_angle_gamma 90.00
_space_group_name_H-M_alt 'P 1'
_space_group_IT_number 1
_space_group_name_Hall 'P 1'
loop_
_atom_site_label
_atom_site_fract_x
_atom_site_fract_y
_atom_site_fract_z
Sr1 0.000 0.000 0.000
Zn1 0.500 0.500 0.500
I1 0.000 0.000 0.500
N1 0.500 0.000 0.000
N2 0.000 0.500 0.000

***

# Li2AlAu2 | Alexandria via LeMat-Bulk | PBE | relaxed
# E above lowest polymorph (eV per atom): 0.068
# ΔH_f (0 K) (eV/atom): -0.452
# Space group: P4/mbm (127)
data_Li2AlAu2
_chemical_formula_sum 'Li4 Al2 Au4'
_cell_length_a 6.846
_cell_length_b 6.846
_cell_length_c 3.605
_cell_angle_alpha 90.00
_cell_angle_beta 90.00
_cell_angle_gamma 90.00
_space_group_name_H-M_alt 'P 1'
_space_group_IT_number 1
_space_group_name_Hall 'P 1'
loop_
_atom_site_label
_atom_site_fract_x
_atom_site_fract_y
_atom_site_fract_z
Li1 0.152 0.652 0.500
Li2 0.848 0.348 0.500
Li3 0.652 0.848 0.500
Li4 0.348 0.152 0.500
Al1 0.000 0.000 0.000
Al2 0.500 0.500 0.000
Au1 0.650 0.150 0.000
Au2 0.350 0.850 0.000
Au3 0.850 0.650 0.000
Au4 0.150 0.350 0.000

***

# Tb2Sm5Y6 | Alexandria via LeMat-Bulk | PBE | relaxed
# ΔH_f (0 K) (eV/atom): 0.095
# Space group: Pbam (55)
data_Tb2Sm5Y6
_chemical_formula_sum 'Tb4 Sm10 Y12'
_cell_length_a 3.598
_cell_length_b 11.726
_cell_length_c 20.540
_cell_angle_alpha 90.00
_cell_angle_beta 90.00
_cell_angle_gamma 90.00
_space_group_name_H-M_alt 'P 1'
_space_group_IT_number 1
_space_group_name_Hall 'P 1'
loop_
_atom_site_label
_atom_site_fract_x
_atom_site_fract_y
_atom_site_fract_z
Tb1 0.000 0.830 0.210
Tb2 0.000 0.330 0.290
Tb3 0.000 0.170 0.790
Tb4 0.000 0.670 0.710
Sm1 0.500 0.500 0.000
Sm2 0.500 0.915 0.773
Sm3 0.500 0.300 0.451
Sm4 0.500 0.585 0.273
Sm5 0.500 0.700 0.549
Sm6 0.500 0.415 0.727
Sm7 0.500 0.200 0.951
Sm8 0.500 0.000 0.500
Sm9 0.500 0.800 0.049
Sm10 0.500 0.085 0.227
Y1 0.500 0.676 0.863
Y2 0.500 0.324 0.137
Y3 0.000 0.441 0.581
Y4 0.000 0.559 0.419
Y5 0.500 0.824 0.363
Y6 0.000 0.918 0.631
Y7 0.500 0.176 0.637
Y8 0.000 0.941 0.919
Y9 0.000 0.082 0.369
Y10 0.000 0.059 0.081
Y11 0.000 0.582 0.131
Y12 0.000 0.418 0.869

***

# TbY4Cd | Alexandria via LeMat-Bulk | PBE | relaxed
# E above lowest polymorph (eV per atom): 0.097
# ΔH_f (0 K) (eV/atom): -0.001
# Space group: C2/c (15)
data_TbY4Cd
_chemical_formula_sum 'Tb2 Y8 Cd2'
_cell_length_a 6.349
_cell_length_b 8.969
_cell_length_c 8.327
_cell_angle_alpha 113.09
_cell_angle_beta 100.05
_cell_angle_gamma 112.58
_space_group_name_H-M_alt 'P 1'
_space_group_IT_number 1
_space_group_name_Hall 'P 1'
loop_
_atom_site_label
_atom_site_fract_x
_atom_site_fract_y
_atom_site_fract_z
Y1 0.776 0.401 0.236
Y2 0.041 0.166 0.764
Y3 0.224 0.599 0.764
Y4 0.755 0.711 0.620
Y5 0.364 0.909 0.620
Y6 0.636 0.091 0.380
Y7 0.245 0.289 0.380
Y8 0.959 0.834 0.236
Cd1 0.750 0.000 0.000
Cd2 0.250 0.000 0.000
Tb1 0.657 0.407 0.814
Tb2 0.343 0.593 0.186

***

# LaCeHoZr | Alexandria via LeMat-Bulk | PBE | relaxed
# ΔH_f (0 K) (eV/atom): 0.228
# Space group: F-43m (216)
data_LaCeHoZr
_chemical_formula_sum 'La1 Ce1 Ho1 Zr1'
_cell_length_a 5.508
_cell_length_b 5.508
_cell_length_c 5.508
_cell_angle_alpha 60.00
_cell_angle_beta 60.00
_cell_angle_gamma 60.00
_space_group_name_H-M_alt 'P 1'
_space_group_IT_number 1
_space_group_name_Hall 'P 1'
loop_
_atom_site_label
_atom_site_fract_x
_atom_site_fract_y
_atom_site_fract_z
Ce1 0.000 0.000 0.000
Ho1 0.750 0.750 0.750
La1 0.500 0.500 0.500
Zr1 0.250 0.250 0.250

***

# AlTlTe2 | Alexandria via LeMat-Bulk | PBE | relaxed
# Formation energy (no corrections) (eV/atom): -0.39
# Space group: Pna2_1 (33)
data_AlTlTe2
_chemical_formula_sum 'Al4 Tl4 Te8'
_cell_length_a 8.788
_cell_length_b 15.532
_cell_length_c 4.239
_cell_angle_alpha 90.00
_cell_angle_beta 90.00
_cell_angle_gamma 90.00
_space_group_name_H-M_alt 'P 1'
_space_group_IT_number 1
_space_group_name_Hall 'P 1'
loop_
_atom_site_label
_atom_site_fract_x
_atom_site_fract_y
_atom_site_fract_z
Te1 0.314 0.953 0.062
Te2 0.814 0.547 0.062
Te3 0.186 0.453 0.562
Te4 0.620 0.762 0.563
Te5 0.380 0.238 0.063
Te6 0.120 0.738 0.563
Te7 0.880 0.262 0.063
Te8 0.686 0.047 0.562
Al1 0.993 0.591 0.562
Al2 0.493 0.909 0.562
Al3 0.507 0.091 0.062
Al4 0.007 0.409 0.062
Tl1 0.388 0.655 0.063
Tl2 0.112 0.155 0.563
Tl3 0.612 0.345 0.563
Tl4 0.888 0.845 0.063

***

# Ho2Ta3Si4 | Alexandria via LeMat-Bulk | PBE | relaxed
# Formation energy (no corrections) (eV/atom): -0.77
# Space group: P2_1/c (14)
data_Ho2Ta3Si4
_chemical_formula_sum 'Ho4 Ta6 Si8'
_cell_length_a 6.868
_cell_length_b 7.015
_cell_length_c 7.022
_cell_angle_alpha 90.00
_cell_angle_beta 90.00
_cell_angle_gamma 108.87
_space_group_name_H-M_alt 'P 1'
_space_group_IT_number 1
_space_group_name_Hall 'P 1'
loop_
_atom_site_label
_atom_site_fract_x
_atom_site_fract_y
_atom_site_fract_z
Ta1 0.000 0.500 0.500
Ta2 0.247 0.255 0.676
Ta3 0.500 0.500 0.000
Ta4 0.747 0.255 0.824
Ta5 0.753 0.745 0.324
Ta6 0.253 0.745 0.176
Ho1 0.064 0.187 0.170
Ho2 0.564 0.187 0.330
Ho3 0.436 0.813 0.670
Ho4 0.936 0.813 0.830
Si1 0.134 0.917 0.464
Si2 0.634 0.917 0.036
Si3 0.866 0.083 0.536
Si4 0.871 0.492 0.126
Si5 0.629 0.508 0.626
Si6 0.129 0.508 0.874
Si7 0.371 0.492 0.374
Si8 0.366 0.083 0.964